[1]
First-principles (PBE) data for an optimized crystal structure of Ac2ZnRhO5, as listed in Alexandria via LeMat-Bulk.

abc: 5.6983 7.3777 7.3777
angles: 90.00 90.00 90.00
With the nearest neighbours (Å) after each atom.
Atoms (fractional coordinates):
O 0.2492 0.6279 0.8721  1 Rh 1.95
O 0.7508 0.3721 0.1279  1 Rh 1.95
O 0.7508 0.6279 0.8721  1 Rh 1.95
O 0.2492 0.1279 0.6279  1 Rh 1.95
O 0.2492 0.3721 0.1279  1 Rh 1.95
O 0.7508 0.8721 0.3721  1 Rh 1.95
O 0.2492 0.8721 0.3721  1 Rh 1.95
O 0.5000 0.5000 0.5000  4 Ac 2.71, 2 Zn 2.85
O 0.5000 0.0000 0.0000  4 Ac 2.71, 2 Zn 2.85
O 0.7508 0.1279 0.6279  1 Rh 1.95
Zn 0.0000 0.5000 0.5000  2 O 2.85
Zn 0.0000 0.0000 0.0000  2 O 2.85
Ac 0.5000 0.3196 0.8196  8 O 2.46-2.71
Ac 0.5000 0.6804 0.1804  8 O 2.46-2.71
Ac 0.5000 0.1804 0.3196  8 O 2.46-2.71
Ac 0.5000 0.8196 0.6804  8 O 2.46-2.71
Rh 0.0000 0.0000 0.5000  4 O 1.95
Rh 0.0000 0.5000 0.0000  4 O 1.95

Properties
E_form (uncorrected) = -16.81 eV/f.u.
Density = 7.52 Mg/m³
Symmetry = P4/mbm (127)
Density of states at the Fermi level = 0.720 states/eV per atom


[2]
First-principles (PBE) data for an optimized crystal structure of Ac2ZnRhO6, as listed in Alexandria via LeMat-Bulk.

abc: 5.7042 5.7038 8.0682
angles: 90.00 90.00 90.00
With the nearest neighbours (Å) after each atom.
Atoms (fractional coordinates):
Ac 0.5000 0.7499 0.2500  12 O 2.85
Ac 0.0000 0.2501 0.7500  12 O 2.85
Ac 0.5000 0.7499 0.7500  12 O 2.85
Ac 0.0000 0.2501 0.2500  12 O 2.85
Zn 0.5000 0.2498 0.5000  6 O 2.03
Zn 0.0000 0.7502 0.0000  6 O 2.03
O 0.7477 0.4980 0.0000  1 Rh 2.00, 1 Zn 2.03
O 0.0000 0.7496 0.2522  1 Rh 2.00, 1 Zn 2.03
O 0.2478 0.9976 0.5000  1 Rh 2.00, 1 Zn 2.03
O 0.7478 0.0024 0.0000  1 Rh 2.00, 1 Zn 2.03
O 0.5000 0.2504 0.2478  1 Rh 2.00, 1 Zn 2.03
O 0.0000 0.7496 0.7478  1 Rh 2.00, 1 Zn 2.03
O 0.2477 0.5020 0.5000  1 Rh 2.00, 1 Zn 2.03
O 0.2523 0.4980 0.0000  1 Rh 2.00, 1 Zn 2.03
O 0.2522 0.0024 0.0000  1 Rh 2.00, 1 Zn 2.03
O 0.7523 0.5020 0.5000  1 Rh 2.00, 1 Zn 2.03
O 0.7522 0.9976 0.5000  1 Rh 2.00, 1 Zn 2.03
O 0.5000 0.2504 0.7522  1 Rh 2.00, 1 Zn 2.03
Rh 0.5000 0.2502 0.0000  6 O 2.00
Rh 0.0000 0.7498 0.5000  6 O 2.00

Properties
E_form (uncorrected) = -21.68 eV/f.u.
Density = 9.09 Mg/m³
Symmetry = Fm-3m (225)
Density of states at the Fermi level = 0.577 states/eV per atom


density of states at the Fermi level of number 2 (Ac2ZnRhO6)? 0.577 states/eV per atom